Entry from Alexandria: a geometry-optimized Cs2LiVO4 structure (PBE+U).

Unit cell a=4.9828 b=12.5743 c=21.6038 alpha=90.00 beta=90.00 gamma=90.00
Closest atoms and distances in Å follow each position.
Space group Fddd (No. 70, origin choice 2)
Unique sites:
Cs 0.1250 0.1250 0.2967 [16 per cell]  8 O 3.25-3.50
Li 0.1250 0.1250 0.1250 [8 per cell]  4 O 1.96
V 0.1250 0.1250 0.6250 [8 per cell]  4 O 1.75
O 0.0928 0.2963 0.8310 [32 per cell]  1 V 1.75

Values from the calculation:
Calculated density in g/cm3: 3.8
Total moment in μB/f.u.: 0.00
Offset from the most stable computed form in meV per atom: 54